1.
A plane-wave DFT calculation with PBE was carried out for a geometry-optimized NaNiOs2 structure.

Computed properties:
Distance to the lowest polymorph of the same formula: 0 meV per atom
DFT total energy: -6.2536 eV/atom
Formation energy: 1.14 eV/atom

abc: 3.7024 3.7024 19.0617
angles: 90.00 90.00 90.00
Last column: nearest neighbours and their distance in Å.
Space group I-42d (No. 122)
Inequivalent atoms, fractional coordinates:
Na 0.0000 0.0000 0.0000 x4  4 Ni 2.62, 4 Os 2.78
Ni 0.0000 0.0000 0.5000 x4  4 Na 2.62, 4 Os 2.67
Os 0.2040 0.7500 0.6250 x8  2 Os 2.39, 2 Ni 2.67

---

2.
A plane-wave DFT calculation with PBE was carried out for a geometry-optimized NaNi2Os structure.

Computed properties:
Distance to the lowest polymorph of the same formula: 401 meV per atom
DFT total energy: -4.9128 eV/atom
Formation energy: 1.12 eV/atom

abc: 4.6736 4.6736 15.5895
angles: 90.00 90.00 90.00
Last column: nearest neighbours and their distance in Å.
Space group I-42d (No. 122)
Inequivalent atoms, fractional coordinates:
Na 0.0000 0.0000 0.0000 x4  8 Ni 3.09-3.44, 4 Os 3.30
Ni 0.0534 0.2500 0.6250 x8  2 Os 2.29, 2 Ni 2.39
Os 0.0000 0.0000 0.5000 x4  4 Ni 2.29

---

3.
A plane-wave DFT calculation with PBE was carried out for a geometry-optimized NaNiOs2 structure.

Computed properties:
Distance to the lowest polymorph of the same formula: 67 meV per atom
DFT total energy: -6.1867 eV/atom
Formation energy: 1.20 eV/atom

abc: 6.0552 6.0552 6.0552
angles: 90.00 90.00 90.00
Last column: nearest neighbours and their distance in Å.
Space group Fm-3m (No. 225)
Inequivalent atoms, fractional coordinates:
Na 0.0000 0.0000 0.0000 x4  8 Os 2.62
Ni 0.0000 0.0000 0.5000 x4  8 Os 2.62
Os 0.2500 0.2500 0.2500 x8  4 Na 2.62, 4 Ni 2.62

---

4.
A plane-wave DFT calculation with PBE was carried out for a geometry-optimized NaNiOs2Rh structure.

Computed properties:
DFT total energy: -5.6034 eV/atom
Formation energy: 1.78 eV/atom

abc: 4.7073 4.7073 4.7248
angles: 90.00 90.00 90.00
Last column: nearest neighbours and their distance in Å.
Space group P4/mmm (No. 123)
Inequivalent atoms, fractional coordinates:
Na 0.0000 0.0000 0.0000 x1  4 Ni 3.33, 8 Os 3.33
Ni 0.5000 0.5000 0.0000 x1  2 Rh 2.36
Os 0.0000 0.5000 0.5000 x2  2 Rh 2.35
Rh 0.5000 0.5000 0.5000 x1  4 Os 2.35, 2 Ni 2.36

---

5.
A plane-wave DFT calculation with PBE was carried out for a geometry-optimized Na3Ni3OsSe8 structure.

Computed properties:
Energy relative to the elements, uncorrected: -40 kJ/mol of atoms
DFT total energy: -4.4430 eV/atom

abc: 12.7628 7.3744 8.0187
angles: 90.00 122.00 90.00
Last column: nearest neighbours and their distance in Å.
Space group C2/m (No. 12)
Inequivalent atoms, fractional coordinates:
Na 0.0000 0.0000 0.0000 x2  6 Se 3.02-3.07
Na 0.2500 0.2500 0.0000 x4  6 Se 3.02-3.06
Ni 0.0000 0.5000 0.5000 x2  6 Se 2.44-2.47
Ni 0.2500 0.2500 0.5000 x4  6 Se 2.44-2.47
Os 0.0000 0.0000 0.5000 x2  6 Se 2.50
Se 0.0219 0.2529 0.3130 x8  2 Ni 2.47, 1 Os 2.50
Se 0.2251 0.5000 0.6757 x4  3 Ni 2.44
Se 0.2307 0.0000 0.6866 x4  2 Ni 2.47, 1 Os 2.50

---

6.
A plane-wave DFT calculation with PBE was carried out for a geometry-optimized Na2TaNiOs structure.

Computed properties:
DFT total energy: -4.7665 eV/atom
Formation energy: 1.53 eV/atom

abc: 4.3523 4.3523 4.8327
angles: 90.00 90.00 90.00
Last column: nearest neighbours and their distance in Å.
Space group P4/mmm (No. 123)
Inequivalent atoms, fractional coordinates:
Na 0.0000 0.5000 0.0000 x2  2 Ni 2.18
Ta 0.0000 0.0000 0.5000 x1  4 Os 3.08, 8 Na 3.25
Ni 0.5000 0.5000 0.0000 x1  4 Na 2.18, 2 Os 2.42
Os 0.5000 0.5000 0.5000 x1  2 Ni 2.42

---

7.
A plane-wave DFT calculation with PBE was carried out for a geometry-optimized NaTcNi2Os structure.

Computed properties:
DFT total energy: -5.5945 eV/atom
Formation energy: 1.30 eV/atom

abc: 4.6081 4.6081 4.6422
angles: 90.00 90.00 90.00
Last column: nearest neighbours and their distance in Å.
Space group P4/mmm (No. 123)
Inequivalent atoms, fractional coordinates:
Na 0.0000 0.0000 0.0000 x1  4 Os 3.26, 8 Ni 3.27
Tc 0.5000 0.5000 0.5000 x1  4 Ni 2.30, 2 Os 2.32
Ni 0.0000 0.5000 0.5000 x2  2 Tc 2.30
Os 0.5000 0.5000 0.0000 x1  2 Tc 2.32

---

8.
A plane-wave DFT calculation with PBE was carried out for a geometry-optimized NaNi2TeOs structure.

Computed properties:
Energy relative to the elements, uncorrected: 151 kJ/mol of atoms
DFT total energy: -3.8908 eV/atom

abc: 4.6681 4.6681 5.3166
angles: 90.00 90.00 90.00
Last column: nearest neighbours and their distance in Å.
Space group P4/mmm (No. 123)
Inequivalent atoms, fractional coordinates:
Na 0.0000 0.0000 0.0000 x1  2 Te 2.66
Ni 0.0000 0.5000 0.5000 x2  2 Te 2.33
Te 0.0000 0.0000 0.5000 x1  4 Ni 2.33
Os 0.5000 0.5000 0.0000 x1  4 Na 3.30, 8 Ni 3.54